(P)
Density functional theory data (GGA-PBE) for KAg3Se3 after structural relaxation.

## Properties
calculated volume: 28.2 Å³/atom
N(E_F): 7.5 states/eV/f.u.

a = 9.2576 Å, b = 9.2576 Å, c = 9.2576 Å
α = 47.52°, β = 47.52°, γ = 47.52°
Closest atoms and distances in Å follow each position.
Element x y z (fractional)
K1 0.1666 0.1666 0.1666  6 Se 3.36-3.37
K2 0.8334 0.8334 0.8334  6 Se 3.36-3.37
Ag1 0.0380 0.7055 0.3725  4 Se 2.64-2.78
Ag2 0.2945 0.6275 0.9620  4 Se 2.64-2.78
Ag3 0.3725 0.0380 0.7055  4 Se 2.64-2.78
Ag4 0.6275 0.9620 0.2945  4 Se 2.64-2.78
Ag5 0.7055 0.3725 0.0380  4 Se 2.64-2.78
Ag6 0.9620 0.2945 0.6275  4 Se 2.64-2.78
Se1 0.0754 0.4075 0.7407  4 Ag 2.64-2.78
Se2 0.2593 0.9246 0.5925  4 Ag 2.64-2.78
Se3 0.4075 0.7407 0.0754  4 Ag 2.64-2.78
Se4 0.5925 0.2593 0.9246  4 Ag 2.64-2.78
Se5 0.7407 0.0754 0.4075  4 Ag 2.64-2.78
Se6 0.9246 0.5925 0.2593  4 Ag 2.64-2.78


(Q)
Density functional theory data (GGA-PBE) for KAg3Se3 after structural relaxation.

## Properties
calculated volume: 28.9 Å³/atom
N(E_F): 5.8 states/eV/f.u.

a = 7.3961 Å, b = 7.3961 Å, c = 7.3961 Å
α = 90.00°, β = 90.00°, γ = 90.00°
Closest atoms and distances in Å follow each position.
Element x y z (fractional)
K1 0.0000 0.0000 0.0000  12 Se 4.13, 12 Ag 4.13
K2 0.5000 0.5000 0.5000  12 Se 4.13, 12 Ag 4.13
Ag1 0.0000 0.2500 0.5000  4 Se 2.61
Ag2 0.0000 0.7500 0.5000  4 Se 2.61
Ag3 0.2500 0.5000 0.0000  4 Se 2.61
Ag4 0.5000 0.0000 0.2500  4 Se 2.61
Ag5 0.5000 0.0000 0.7500  4 Se 2.61
Ag6 0.7500 0.5000 0.0000  4 Se 2.61
Se1 0.0000 0.5000 0.2500  4 Ag 2.61
Se2 0.0000 0.5000 0.7500  4 Ag 2.61
Se3 0.2500 0.0000 0.5000  4 Ag 2.61
Se4 0.5000 0.2500 0.0000  4 Ag 2.61
Se5 0.5000 0.7500 0.0000  4 Ag 2.61
Se6 0.7500 0.0000 0.5000  4 Ag 2.61


Of them, (P) has the lowest stability.


(P)
Density functional theory data (GGA-PBE) for K3Ag4Se4 after structural relaxation.

## Properties
calculated volume: 27.3 Å³/atom
N(E_F): 5.2 states/eV/f.u.

a = 7.3055 Å, b = 7.3055 Å, c = 7.3055 Å
α = 109.47°, β = 109.47°, γ = 109.47°
Closest atoms and distances in Å follow each position.
Element x y z (fractional)
K1 0.0000 0.5000 0.5000  4 Se 3.45, 4 Ag 3.48
K2 0.5000 0.0000 0.5000  4 Se 3.45, 4 Ag 3.48
K3 0.5000 0.5000 0.0000  4 Se 3.45, 4 Ag 3.48
Ag1 0.0000 0.0000 0.7321  4 Se 2.65-2.75
Ag2 0.0000 0.7321 0.0000  4 Se 2.65-2.75
Ag3 0.2679 0.2679 0.2679  4 Se 2.65-2.75
Ag4 0.7321 0.0000 0.0000  4 Se 2.65-2.75
Se1 0.0000 0.0000 0.3687  4 Ag 2.65-2.75
Se2 0.0000 0.3687 0.0000  4 Ag 2.65-2.75
Se3 0.3687 0.0000 0.0000  4 Ag 2.65-2.75
Se4 0.6313 0.6313 0.6313  4 Ag 2.65-2.75


(Q)
Density functional theory data (GGA-PBE) for K3Ag4Se4 after structural relaxation.

## Properties
calculated volume: 24.9 Å³/atom
N(E_F): 3.4 states/eV/f.u.

a = 8.8207 Å, b = 8.8207 Å, c = 8.8207 Å
α = 148.06°, β = 130.46°, γ = 60.16°
Closest atoms and distances in Å follow each position.
Element x y z (fractional)
K1 0.0000 0.0000 0.0000  6 Se 3.27-3.38
K2 0.3824 0.8824 0.5000  6 Se 3.37-3.45, 6 Ag 3.41-3.54, 1 K 3.59
K3 0.6176 0.1176 0.5000  6 Se 3.37-3.45, 6 Ag 3.41-3.54, 1 K 3.59
Ag1 0.0240 0.3295 0.6945  4 Se 2.71-2.93, 1 Ag 2.87
Ag2 0.3649 0.6705 0.6945  4 Se 2.71-2.93, 1 Ag 2.87
Ag3 0.6351 0.3295 0.3055  4 Se 2.71-2.93, 1 Ag 2.87
Ag4 0.9760 0.6705 0.3055  4 Se 2.71-2.93, 1 Ag 2.87
Se1 0.2216 0.2216 0.0000  6 Ag 2.80-2.93
Se2 0.2972 0.5000 0.7972  2 Ag 2.71, 1 Se 3.00
Se3 0.7028 0.5000 0.2028  2 Ag 2.71, 1 Se 3.00
Se4 0.7784 0.7784 0.0000  6 Ag 2.80-2.93


Of them, (Q) has the lowest stability.


(P)
Density functional theory data (GGA-PBE) for KAg4Se2 after structural relaxation.

## Properties
calculated volume: 23.5 Å³/atom
N(E_F): 4.5 states/eV/f.u.

a = 9.2871 Å, b = 9.2871 Å, c = 9.2871 Å
α = 28.78°, β = 28.78°, γ = 28.78°
Closest atoms and distances in Å follow each position.
Element x y z (fractional)
K1 0.0000 0.0000 0.0000  6 Se 3.36
Ag1 0.1528 0.1528 0.1528  6 Ag 2.77-2.91, 1 Se 2.77
Ag2 0.4429 0.4429 0.4429  3 Se 2.81, 4 Ag 2.91-3.05
Ag3 0.5571 0.5571 0.5571  3 Se 2.81, 4 Ag 2.91-3.05
Ag4 0.8472 0.8472 0.8472  6 Ag 2.77-2.91, 1 Se 2.77
Se1 0.2567 0.2567 0.2567  4 Ag 2.77-2.81
Se2 0.7433 0.7433 0.7433  4 Ag 2.77-2.81


(Q)
Density functional theory data (GGA-PBE) for KAg4Se2 after structural relaxation.

## Properties
calculated volume: 22.5 Å³/atom
N(E_F): 1.2 states/eV/f.u.

a = 8.5271 Å, b = 8.5271 Å, c = 4.3357 Å
α = 90.00°, β = 90.00°, γ = 90.00°
Closest atoms and distances in Å follow each position.
Element x y z (fractional)
K1 0.0000 0.0000 0.0000  6 Se 3.39-3.42, 12 Ag 3.76-3.77
K2 0.5000 0.5000 0.5000  6 Se 3.39-3.42, 12 Ag 3.76-3.77
Ag1 0.0843 0.3498 0.5000  3 Se 2.81, 5 Ag 2.94-3.00
Ag2 0.1502 0.5843 0.0000  3 Se 2.81, 5 Ag 2.94-3.00
Ag3 0.3498 0.0843 0.5000  3 Se 2.81, 5 Ag 2.94-3.00
Ag4 0.4157 0.8498 0.0000  3 Se 2.81, 5 Ag 2.94-3.00
Ag5 0.5843 0.1502 0.0000  3 Se 2.81, 5 Ag 2.94-3.00
Ag6 0.6502 0.9157 0.5000  3 Se 2.81, 5 Ag 2.94-3.00
Ag7 0.8498 0.4157 0.0000  3 Se 2.81, 5 Ag 2.94-3.00
Ag8 0.9157 0.6502 0.5000  3 Se 2.81, 5 Ag 2.94-3.00
Se1 0.2164 0.7836 0.5000  6 Ag 2.81
Se2 0.2836 0.2836 0.0000  6 Ag 2.81
Se3 0.7164 0.7164 0.0000  6 Ag 2.81
Se4 0.7836 0.2164 0.5000  6 Ag 2.81


Of them, (P) has the lowest stability.